1.
Density functional theory data (PBE) for an optimized crystal structure of NaCuBrN2.

a b c (Å): 3.813 7.628 3.813
angles (deg): 90.00 90.00 90.00
Positions (direct):
Na  0.000  0.500  0.000
Cu  0.000  0.000  0.000
Br  0.500  0.500  0.500
N  0.000  0.000  0.500
N  0.500  0.000  0.000

Volume ... 22.2 A^3/atom
Mass density ... 2.91 g cm⁻³
ΔE_f (raw) ... 0.88 eV/atom
Calculated total energy ... -3.869 eV per atom



2.
Density functional theory data (PBE) for an optimized crystal structure of HgS3Br.

a b c (Å): 6.799 8.359 7.256
angles (deg): 119.89 90.01 90.00
Positions (direct):
Hg  0.746  0.730  0.384
Hg  0.246  0.623  0.715
S  0.858  0.401  0.850
S  0.515  0.788  0.986
S  0.024  0.340  0.596
S  0.358  0.951  0.249
S  0.015  0.564  0.113
S  0.524  0.013  0.503
Br  0.479  0.470  0.350
Br  0.979  0.883  0.748

Volume ... 35.8 A^3/atom
Mass density ... 3.50 g cm⁻³
Excess energy over the best structure of this formula in the dataset ... 0.0000 eV per atom
ΔE_f (raw) ... -0.02 eV/atom
Calculated total energy ... -2.890 eV per atom



3.
Density functional theory data (PBE) for an optimized crystal structure of Sm2YAl2.

a b c (Å): 3.722 5.181 13.709
angles (deg): 90.00 97.83 90.00
Positions (direct):
Sm  0.046  0.750  0.093
Sm  0.954  0.250  0.907
Sm  0.233  0.750  0.466
Sm  0.767  0.250  0.534
Y  0.858  0.750  0.713
Y  0.142  0.250  0.287
Al  0.640  0.750  0.282
Al  0.360  0.250  0.718
Al  0.450  0.750  0.899
Al  0.550  0.250  0.101

Volume ... 26.2 A^3/atom
Mass density ... 5.62 g cm⁻³
Excess energy over the best structure of this formula in the dataset ... 0.0000 eV per atom
Calculated total energy ... -4.980 eV per atom
ΔH_f (0 K) ... -0.302 eV/atom



- Among the records above, which one has the highest volume?
  HgS3Br



- Number 3 is which compound?
  Sm2YAl2



- Which value of mass density does entry 1 give?
  2.91 g cm⁻³



Copy entry 3 word for word.
Density functional theory data (PBE) for an optimized crystal structure of Sm2YAl2.

a b c (Å): 3.722 5.181 13.709
angles (deg): 90.00 97.83 90.00
Positions (direct):
Sm  0.046  0.750  0.093
Sm  0.954  0.250  0.907
Sm  0.233  0.750  0.466
Sm  0.767  0.250  0.534
Y  0.858  0.750  0.713
Y  0.142  0.250  0.287
Al  0.640  0.750  0.282
Al  0.360  0.250  0.718
Al  0.450  0.750  0.899
Al  0.550  0.250  0.101

Volume ... 26.2 A^3/atom
Mass density ... 5.62 g cm⁻³
Excess energy over the best structure of this formula in the dataset ... 0.0000 eV per atom
Calculated total energy ... -4.980 eV per atom
ΔH_f (0 K) ... -0.302 eV/atom